{
  "formula": "H2PdO",
  "functional": "PBE-GGA",
  "state": "optimized geometry",
  "crystal_system": "trigonal",
  "m_tot_mub_per_cell": 0.003,
  "e_tot_ev_per_atom": -3.8969,
  "lattice_angstrom": [[2.536, 0.000, 0.000], [1.268, 2.196, 0.000], [1.268, 0.732, 7.426]],
  "species": ["H", "H", "O", "Pd"],
  "frac_coords": [[0.154, 0.154, 0.538], [0.846, 0.846, 0.462], [0.500, 0.500, 0.500], [0.000, 0.000, 0.000]]
}

{
  "formula": "HPdO2",
  "functional": "PBE-GGA",
  "state": "optimized geometry",
  "crystal_system": "tetragonal",
  "m_tot_mub_per_cell": 0.000,
  "e_tot_ev_per_atom": -4.4355,
  "lattice_angstrom": [[4.389, 0.000, 0.000], [0.000, 4.389, 0.000], [2.194, 2.194, 3.693]],
  "species": ["H", "H", "O", "O", "O", "O", "Pd", "Pd"],
  "frac_coords": [[0.500, 0.500, 0.000], [0.250, 0.750, 0.500], [0.542, 0.125, 0.250], [0.208, 0.625, 0.250], [0.375, 0.458, 0.750], [0.875, 0.792, 0.750], [0.000, 0.000, 0.000], [0.750, 0.250, 0.500]]
}

{
  "formula": "HPdO2",
  "functional": "PBE-GGA",
  "state": "optimized geometry",
  "crystal_system": "monoclinic",
  "m_tot_mub_per_cell": 0.000,
  "e_tot_ev_per_atom": -5.0476,
  "lattice_angstrom": [[-5.064, -0.945, 2.596], [-2.629, -6.491, -2.893], [2.241, -6.726, -2.675]],
  "species": ["H", "H", "O", "O", "O", "O", "Pd", "Pd"],
  "frac_coords": [[0.750, 0.122, 0.622], [0.250, 0.878, 0.378], [0.252, 0.122, 0.135], [0.248, 0.635, 0.622], [0.748, 0.878, 0.865], [0.752, 0.365, 0.378], [0.750, 0.878, 0.378], [0.250, 0.122, 0.622]]
}

{
  "formula": "HPd3O6",
  "functional": "PBE-GGA",
  "state": "optimized geometry",
  "crystal_system": "trigonal",
  "m_tot_mub_per_cell": 0.000,
  "e_tot_ev_per_atom": -5.0894,
  "lattice_angstrom": [[-1.174, 4.682, 1.179], [-0.281, 1.365, 4.770], [4.224, 3.213, 1.917]],
  "species": ["H", "Pd", "Pd", "Pd", "O", "O", "O", "O", "O", "O"],
  "frac_coords": [[0.911, 0.911, 0.266], [0.333, 0.333, 0.001], [0.652, 0.652, 0.045], [0.142, 0.142, 0.573], [0.937, 0.586, 0.267], [0.210, 0.937, 0.267], [0.586, 0.210, 0.267], [0.063, 0.446, 0.772], [0.719, 0.063, 0.772], [0.446, 0.719, 0.772]]
}

{
  "formula": "HPdO2",
  "functional": "PBE-GGA",
  "state": "optimized geometry",
  "crystal_system": "orthorhombic",
  "m_tot_mub_per_cell": 0.000,
  "e_tot_ev_per_atom": -5.0529,
  "lattice_angstrom": [[-0.828, 0.494, 6.085], [-2.519, -1.672, -0.207], [5.301, -8.160, 1.383]],
  "species": ["H", "H", "H", "H", "O", "O", "O", "O", "O", "O", "O", "O", "Pd", "Pd", "Pd", "Pd"],
  "frac_coords": [[0.162, 0.250, 0.691], [0.338, 0.750, 0.191], [0.838, 0.750, 0.309], [0.662, 0.250, 0.809], [0.718, 0.250, 0.477], [0.782, 0.750, 0.977], [0.282, 0.750, 0.523], [0.218, 0.250, 0.023], [0.558, 0.250, 0.733], [0.942, 0.750, 0.233], [0.442, 0.750, 0.267], [0.058, 0.250, 0.767], [0.360, 0.250, 0.399], [0.140, 0.750, 0.899], [0.640, 0.750, 0.601], [0.860, 0.250, 0.101]]
}

{
  "formula": "HPdO2",
  "functional": "PBE-GGA",
  "state": "optimized geometry",
  "crystal_system": "trigonal",
  "m_tot_mub_per_cell": 0.000,
  "e_tot_ev_per_atom": -4.7438,
  "lattice_angstrom": [[2.071, 0.000, 3.893], [-1.036, 1.794, 3.893], [-1.036, -1.794, 3.893]],
  "species": ["H", "O", "O", "Pd"],
  "frac_coords": [[0.041, 0.041, 0.041], [0.126, 0.126, 0.126], [0.675, 0.675, 0.675], [0.409, 0.409, 0.409]]
}